No. 1
A relaxed structure of La3Tb2Nd7. Source: Alexandria via LeMat-Bulk, functional PBE.

```
La3Tb2Nd7
1.0
-5.2059 3.8453 1.7782
-6.2100 -2.5468 -0.0057
-2.4871 -2.8056 11.4531
La Tb Nd
3 2 7
direct
0.0000 0.0000 0.0000 La
0.1513 0.1513 0.5461 La
0.8487 0.8487 0.4539 La
0.3341 0.3341 0.9978 Tb
0.6659 0.6659 0.0022 Tb
0.5000 0.5000 0.5000 Nd
0.0798 0.5857 0.7489 Nd
0.5857 0.5857 0.7489 Nd
0.5857 0.0798 0.7489 Nd
0.9202 0.4143 0.2511 Nd
0.4143 0.9202 0.2511 Nd
0.4143 0.4143 0.2511 Nd
```

Computed properties:
calculated density = 6.5 Mg/m³
energy above the lowest structure with this stoichiometry = 0.1708 eV/atom
magnetization = 0.00 μB per formula unit



No. 2
A relaxed structure of LaTb4Nd2. Source: Alexandria via LeMat-Bulk, functional PBE.

```
LaTb4Nd2
1.0
6.8481 -1.0814 0.6596
1.3939 10.1693 2.2134
-2.8200 -1.0020 6.3791
Nd Tb La
4 8 2
direct
0.0000 0.0000 0.0000 Nd
0.0000 0.0000 0.5000 Nd
0.0000 0.5000 0.5000 Nd
0.5000 0.0000 0.5000 Nd
0.2682 0.2791 0.3115 Tb
0.7292 0.2156 0.1892 Tb
0.2708 0.7844 0.8108 Tb
0.7318 0.7209 0.6885 Tb
0.7303 0.7841 0.1896 Tb
0.7307 0.2794 0.6881 Tb
0.2693 0.7206 0.3119 Tb
0.2697 0.2159 0.8104 Tb
0.5000 0.5000 0.0000 La
0.0000 0.5000 0.0000 La
```

Computed properties:
calculated density = 7.2 Mg/m³
energy above the lowest structure with this stoichiometry = 0.1944 eV/atom
magnetization = 0.00 μB per formula unit



No. 3
A relaxed structure of LaTbNd2. Source: Alexandria via LeMat-Bulk, functional PBE.

```
LaTbNd2
1.0
-0.3229 1.4007 4.0812
-4.3130 0.0151 -0.3464
-0.2179 -7.0598 2.4058
Nd Tb La
2 1 1
direct
0.0000 0.0000 0.7583 Nd
0.0000 0.0000 0.2417 Nd
0.5000 0.5000 0.0000 Tb
0.5000 0.5000 0.5000 La
```

Computed properties:
calculated density = 7.0 Mg/m³
energy above the lowest structure with this stoichiometry = 0.0972 eV/atom
magnetization = 0.00 μB per formula unit



No. 4
A relaxed structure of La7Tb2Nd3. Source: Alexandria via LeMat-Bulk, functional PBE.

```
La7Tb2Nd3
1.0
3.6091 0.0000 0.0000
0.0000 6.5542 0.8067
0.0000 2.5360 18.3977
La Tb Nd
7 2 3
direct
0.5000 0.2310 0.5089 La
0.5000 0.7690 0.4911 La
0.0000 0.5590 0.1686 La
0.0000 0.0000 0.0000 La
0.0000 0.4410 0.8314 La
0.5000 0.9499 0.8285 La
0.5000 0.0501 0.1715 La
0.5000 0.6116 0.3309 Tb
0.5000 0.3884 0.6691 Tb
0.5000 0.5000 0.0000 Nd
0.0000 0.1187 0.3365 Nd
0.0000 0.8813 0.6635 Nd
```

Computed properties:
calculated density = 6.7 Mg/m³
energy above the lowest structure with this stoichiometry = 0.0000 eV/atom
magnetization = 0.00 μB per formula unit



No. 5
A relaxed structure of La2Tb7Nd3. Source: Alexandria via LeMat-Bulk, functional PBE.

```
La2Tb7Nd3
1.0
-1.7794 1.0604 -2.9061
-0.6607 -6.1374 -1.8349
-15.6749 -5.3153 7.6580
La Tb Nd
2 7 3
direct
0.5000 0.6178 0.3276 La
0.5000 0.3822 0.6724 La
0.5000 0.2446 0.4997 Tb
0.5000 0.7554 0.5003 Tb
0.0000 0.5642 0.1628 Tb
0.0000 0.0000 0.0000 Tb
0.0000 0.4358 0.8372 Tb
0.5000 0.9372 0.8357 Tb
0.5000 0.0628 0.1643 Tb
0.5000 0.5000 0.0000 Nd
0.0000 0.1151 0.3408 Nd
0.0000 0.8849 0.6592 Nd
```

Computed properties:
calculated density = 7.5 Mg/m³
energy above the lowest structure with this stoichiometry = 0.0000 eV/atom
magnetization = 0.00 μB per formula unit



No. 6
A relaxed structure of La6TbNd2. Source: Alexandria via LeMat-Bulk, functional PBE.

```
La6TbNd2
1.0
-2.4213 2.5588 1.1457
-7.1937 -4.0745 -6.1029
-6.4900 -7.4294 2.8774
La Tb Nd
6 1 2
direct
0.0000 0.5075 0.1643 La
0.0000 0.8357 0.4925 La
0.0000 0.4925 0.8357 La
0.5000 0.6790 0.3210 La
0.0000 0.1643 0.5075 La
0.5000 0.3210 0.6790 La
0.0000 0.0000 0.0000 Tb
0.5000 0.1734 0.1734 Nd
0.5000 0.8266 0.8266 Nd
```

Computed properties:
calculated density = 6.6 Mg/m³
energy above the lowest structure with this stoichiometry = 0.0582 eV/atom
magnetization = 0.00 μB per formula unit



No. 7
A relaxed structure of LaTbNd3. Source: Alexandria via LeMat-Bulk, functional PBE.

```
LaTbNd3
1.0
3.6730 0.0000 0.0000
0.0000 10.3098 1.2629
-1.8365 1.4615 9.4266
La Tb Nd
2 2 6
direct
0.6006 0.4480 0.2012 La
0.3994 0.5520 0.7988 La
0.7987 0.8550 0.5975 Tb
0.2013 0.1451 0.4025 Tb
0.9999 0.7519 0.9999 Nd
0.0001 0.2481 0.0001 Nd
0.3991 0.0486 0.7982 Nd
0.6009 0.9514 0.2018 Nd
0.2017 0.6532 0.4034 Nd
0.7983 0.3468 0.5966 Nd
```

Computed properties:
calculated density = 6.9 Mg/m³
energy above the lowest structure with this stoichiometry = 0.0000 eV/atom
magnetization = 0.00 μB per formula unit



No. 8
A relaxed structure of La7Tb4Nd. Source: Alexandria via LeMat-Bulk, functional PBE.

```
La7Tb4Nd
1.0
6.5990 -1.8928 2.7888
0.7385 5.9677 2.3161
2.9343 -2.3632 11.1265
La Tb Nd
7 4 1
direct
0.7435 0.4988 0.0029 La
0.2565 0.5012 0.9971 La
0.0839 0.2804 0.6648 La
0.9161 0.7196 0.3352 La
0.3328 0.7780 0.6666 La
0.5000 0.0000 0.0000 La
0.6672 0.2220 0.3334 La
0.4133 0.7236 0.3320 Tb
0.5867 0.2764 0.6680 Tb
0.8347 0.7805 0.6648 Tb
0.1653 0.2195 0.3352 Tb
0.0000 0.0000 0.0000 Nd
```

Computed properties:
calculated density = 6.9 Mg/m³
energy above the lowest structure with this stoichiometry = 0.0000 eV/atom
magnetization = 0.00 μB per formula unit